First-principles (PBE) data for an optimized crystal structure of AcY2ReO8, as listed in Alexandria via LeMat-Bulk.

Properties
DFT total energy: -102.05 eV per cell
M_tot: 0.00 Bohr magnetons per cell
Space group: P2/m, No. 10
ΔE_f (raw): -2.74 eV/atom
Crystal system: monoclinic

The structure in POSCAR format:
```
AcY2ReO8
1.0
5.116 0.000 0.000
0.000 7.054 0.000
-0.115 0.000 5.119
Ac Y Re O
1 2 1 8
Cartesian
0.000 0.000 0.000
2.501 1.761 2.560
2.501 5.293 2.560
0.000 3.527 0.000
0.931 2.156 0.947
0.931 4.898 0.947
1.247 3.527 3.781
1.566 0.000 3.464
3.436 0.000 1.656
3.754 3.527 1.338
4.070 2.156 4.173
4.070 4.898 4.173
```